La2Mg: single point on PBEsol structure, meta-GGA SCAN.

spin magnetization: 0.2 μB per cell
ΔE_f: -0.020 eV/atom
energy relative to the lowest polymorph listed for this composition: 0.0699 eV per atom
space group: Cm
calculated density: 5.45 g/cm3

a = 6.7430 Å, b = 6.7430 Å, c = 8.3335 Å
α = 106.55°, β = 106.55°, γ = 30.56°
Atoms (fractional coordinates):
1 La 0.0000 0.0000 0.0000
2 La 0.0257 0.0257 0.5772
3 La 0.3128 0.3128 0.6830
4 La 0.6505 0.6505 0.3290
5 Mg 0.3606 0.3606 0.2394
6 Mg 0.7106 0.7106 0.9443